Record 1
## LiSiOF2 (meta-GGA SCAN)

Data for LiSiOF2 at its PBEsol-relaxed geometry.

Summary:
Density, Mg/m³: 2.557
ΔE_f (raw), eV/atom: -2.0756
Total energy, eV per atom: -7.22

Cell: 4.0657 4.0657 3.4973 Å, 90.00 90.00 90.00°
Last column: nearest neighbours and their distance in Å.
Sites, in units of the cell vectors:
1 Li 0.0000 0.0000 0.0000  8 F 2.68, 4 O 2.87
2 Si 0.5000 0.5000 0.5000  2 O 1.75
3 O 0.5000 0.5000 0.0000  2 Si 1.75
4 F 0.0000 0.5000 0.5000  2 Si 2.03
5 F 0.5000 0.0000 0.5000  2 Si 2.03


Record 2
## LiZnCr2 (meta-GGA SCAN)

Data for LiZnCr2 at its PBEsol-relaxed geometry.

Summary:
Density, Mg/m³: 5.675
Total energy, eV per atom: -13.11
DFT formation energy, meV/atom: 63

Cell: 4.1789 4.1789 4.1789 Å, 60.00 60.00 60.00°
Last column: nearest neighbours and their distance in Å.
Sites, in units of the cell vectors:
1 Li 0.0000 0.0000 0.0000  4 Cr 2.56, 4 Zn 2.56
2 Zn 0.2500 0.2500 0.2500  4 Cr 2.56, 4 Li 2.56
3 Cr 0.5000 0.5000 0.5000  4 Cr 2.56, 4 Zn 2.56
4 Cr 0.7500 0.7500 0.7500  4 Cr 2.56, 4 Li 2.56


Record 3
## Ba2LaZnF (meta-GGA SCAN)

Data for Ba2LaZnF at its PBEsol-relaxed geometry.

Summary:
Density, Mg/m³: 5.642
ΔE_f (raw), eV/atom: -1.0147
Total energy, eV per atom: -28.87

Cell: 5.3769 5.3769 5.0696 Å, 90.00 90.00 90.00°
Last column: nearest neighbours and their distance in Å.
Sites, in units of the cell vectors:
1 Ba 0.0000 0.5000 0.0000  2 F 2.69
2 Ba 0.5000 0.0000 0.0000  2 F 2.69
3 La 0.0000 0.0000 0.5000  2 F 2.53
4 Zn 0.5000 0.5000 0.5000  8 Ba 3.70, 4 La 3.80
5 F 0.0000 0.0000 0.0000  2 La 2.53, 4 Ba 2.69